Below is a relaxed structure of NaGdEr2, with properties calculated at the PBE-GGA level.

**DOS(E_F)**: 5.68 states/eV per cell
**DFT formation energy**: 0.186 eV/atom

abc: 3.475 3.475 12.789
angles: 82.19 82.19 60.00
Last column: magnetic moment on the atom in μB.
Positions (direct):
Na 0.000 0.000 0.000  0.00
Gd 0.500 0.500 0.500  7.14
Er 0.092 0.092 0.725  -0.02
Er 0.908 0.908 0.275  -0.02



Below is a relaxed structure of NaGd2Er, with properties calculated at the PBE-GGA level.

**DOS(E_F)**: 5.02 states/eV per cell
**DFT formation energy**: 0.146 eV/atom

abc: 3.509 3.509 12.796
angles: 82.12 82.12 60.00
Last column: magnetic moment on the atom in μB.
Positions (direct):
Na 0.000 0.000 0.000  0.00
Gd 0.092 0.092 0.723  7.21
Gd 0.908 0.908 0.277  7.21
Er 0.500 0.500 0.500  -0.10



Below is a relaxed structure of NaGd2Er, with properties calculated at the PBE-GGA level.

**DOS(E_F)**: 4.91 states/eV per cell
**DFT formation energy**: 0.113 eV/atom

abc: 3.501 3.501 10.722
angles: 90.00 90.00 90.00
Last column: magnetic moment on the atom in μB.
Positions (direct):
Na 0.500 0.500 0.500  0.00
Gd 0.000 0.000 0.770  7.21
Gd 0.000 0.000 0.230  7.21
Er 0.500 0.500 0.000  0.01



Below is a relaxed structure of NaGdEr, with properties calculated at the PBE-GGA level.

**DOS(E_F)**: 3.99 states/eV per cell
**DFT formation energy**: 0.140 eV/atom

abc: 3.523 3.523 9.205
angles: 90.00 90.00 120.00
Last column: magnetic moment on the atom in μB.
Positions (direct):
Na 0.000 0.000 0.997  0.00
Gd 0.667 0.333 0.352  7.21
Er 0.333 0.667 0.651  0.06



Below is a relaxed structure of NaGdEr, with properties calculated at the PBE-GGA level.

**DOS(E_F)**: 3.61 states/eV per cell
**DFT formation energy**: 0.156 eV/atom

abc: 3.529 3.529 8.398
angles: 102.13 102.13 90.00
Last column: magnetic moment on the atom in μB.
Positions (direct):
Na 0.002 0.002 0.003  0.00
Gd 0.323 0.323 0.646  7.30
Er 0.675 0.675 0.351  0.17



Below is a relaxed structure of NaGdErTl, with properties calculated at the PBE-GGA level.

**DOS(E_F)**: 3.86 states/eV per cell
**DFT formation energy**: -0.057 eV/atom

abc: 5.404 5.404 5.404
angles: 60.00 60.00 60.00
Last column: magnetic moment on the atom in μB.
Positions (direct):
Na 0.750 0.750 0.750  0.01
Tl 0.250 0.250 0.250  -0.02
Gd 0.000 0.000 0.000  7.22
Er 0.500 0.500 0.500  0.19



Below is a relaxed structure of GdErNb4, with properties calculated at the PBE-GGA level.

**DOS(E_F)**: 10.64 states/eV per cell
**DFT formation energy**: 0.183 eV/atom

abc: 5.731 5.731 5.731
angles: 60.00 60.00 60.00
Last column: magnetic moment on the atom in μB.
Positions (direct):
Nb 0.625 0.625 0.125  -0.09
Nb 0.625 0.125 0.625  -0.09
Nb 0.625 0.625 0.625  -0.09
Nb 0.125 0.625 0.625  -0.09
Gd 0.250 0.250 0.250  -7.18
Er 0.000 0.000 0.000  -0.15



Below is a relaxed structure of NdGdEr, with properties calculated at the PBE-GGA level.

**DOS(E_F)**: 4.94 states/eV per cell
**DFT formation energy**: 0.065 eV/atom

abc: 3.483 5.699 5.699
angles: 120.00 90.00 90.00
Last column: magnetic moment on the atom in μB.
Positions (direct):
Gd 0.166 0.000 0.000  7.22
Nd 0.667 0.333 0.667  0.00
Er 0.167 0.667 0.333  0.03



Below is a relaxed structure of NdGdEr2, with properties calculated at the PBE-GGA level.

**DOS(E_F)**: 7.79 states/eV per cell
**DFT formation energy**: 0.104 eV/atom

abc: 5.685 5.685 5.685
angles: 60.00 60.00 60.00
Last column: magnetic moment on the atom in μB.
Positions (direct):
Gd 0.500 0.500 0.500  -7.22
Nd 0.000 0.000 0.000  0.02
Er 0.250 0.250 0.250  -0.07
Er 0.750 0.750 0.750  -0.07



Below is a relaxed structure of NdGd2Er, with properties calculated at the PBE-GGA level.

**DOS(E_F)**: 7.09 states/eV per cell
**DFT formation energy**: 0.021 eV/atom

abc: 5.088 5.062 5.062
angles: 90.00 90.00 90.00
Last column: magnetic moment on the atom in μB.
Positions (direct):
Gd 0.000 0.000 0.500  7.14
Gd 0.000 0.500 0.000  7.14
Nd 0.500 0.000 0.000  -0.07
Er 0.500 0.500 0.500  -0.01



| no. | V (Å³/atom) |
| --- | --- |
| 1 | 33.0 |
| 2 | 33.7 |
| 3 | 32.9 |
| 4 | 33.0 |
| 5 | 33.3 |
| 6 | 27.9 |
| 7 | 22.2 |
| 8 | 32.7 |
| 9 | 32.5 |
| 10 | 32.6 |